No. 1
{
  "formula": "PrY2HgO",
  "functional": "GGA-PBE",
  "state": "relaxed",
  "dos_ef_per_ev_atom": 0.449,
  "e_form_raw_ev_per_atom": -1.35,
  "lattice": [[-4.029, -2.170, -1.969], [2.204, -0.228, -4.259], [1.765, -4.316, 1.145]],
  "species": ["Y", "Y", "O", "Hg", "Pr"],
  "frac_coords": [[0.000, 0.000, 0.500], [0.000, 0.500, 0.000], [0.000, 0.000, 0.000], [0.500, 0.500, 0.500], [0.500, 0.000, 0.000]]
}

No. 2
{
  "formula": "RbNi2H",
  "functional": "GGA-PBE",
  "state": "relaxed",
  "dos_ef_per_ev_atom": 0.343,
  "lattice": [[5.531, 0.000, 0.000], [0.000, 5.531, 0.000], [2.766, 2.766, 3.910]],
  "species": ["Ni", "Ni", "Ni", "Ni", "Rb", "Rb", "H", "H"],
  "frac_coords": [[0.875, 0.625, 0.750], [0.375, 0.625, 0.750], [0.375, 0.125, 0.250], [0.375, 0.625, 0.250], [0.000, 0.000, 0.000], [0.750, 0.250, 0.500], [0.250, 0.750, 0.500], [0.500, 0.500, 0.000]]
}

No. 3
{
  "formula": "PmGa2PdAu5",
  "functional": "GGA-PBE",
  "state": "relaxed",
  "dos_ef_per_ev_atom": 0.520,
  "formation_energy_ev_per_atom": -0.26,
  "lattice": [[4.904, 0.000, 0.000], [0.000, 4.904, 0.000], [0.000, 0.000, 7.564]],
  "species": ["Au", "Au", "Au", "Au", "Au", "Pd", "Ga", "Ga", "Pm"],
  "frac_coords": [[0.000, 0.500, 0.244], [0.500, 0.000, 0.244], [0.000, 0.500, 0.756], [0.500, 0.500, 0.500], [0.500, 0.000, 0.756], [0.000, 0.000, 0.000], [0.500, 0.500, 0.844], [0.500, 0.500, 0.156], [0.000, 0.000, 0.500]]
}

No. 4
{
  "formula": "BaLa2Ge4",
  "functional": "GGA-PBE",
  "state": "relaxed",
  "dos_ef_per_ev_atom": 0.805,
  "formation_energy_ev_per_atom": 0.27,
  "lattice": [[5.552, 0.000, 0.000], [0.000, 5.552, 0.000], [2.776, 2.776, 7.943]],
  "species": ["La", "La", "Ba", "Ge", "Ge", "Ge", "Ge"],
  "frac_coords": [[0.619, 0.619, 0.763], [0.381, 0.381, 0.237], [0.000, 0.000, 0.000], [0.806, 0.806, 0.389], [0.194, 0.194, 0.611], [0.000, 0.500, 0.000], [0.500, 0.000, 0.000]]
}

No. 5
{
  "formula": "Pm8SmIn2",
  "functional": "GGA-PBE",
  "state": "relaxed",
  "dos_ef_per_ev_atom": 1.311,
  "formation_energy_ev_per_atom": -0.09,
  "lattice": [[-1.952, -4.781, -3.485], [7.029, -6.893, -2.124], [3.182, -9.068, 3.014]],
  "species": ["Pm", "Pm", "Pm", "Pm", "Pm", "Pm", "Pm", "Pm", "Sm", "In", "In"],
  "frac_coords": [[0.738, 0.501, 0.501], [0.237, 0.567, 0.088], [0.262, 0.499, 0.499], [0.237, 0.088, 0.567], [0.763, 0.912, 0.433], [0.696, 0.863, 0.863], [0.304, 0.137, 0.137], [0.763, 0.433, 0.912], [0.000, 0.000, 0.000], [0.754, 0.321, 0.321], [0.246, 0.679, 0.679]]
}

No. 6
{
  "formula": "MgMn2I6",
  "functional": "GGA-PBE",
  "state": "relaxed",
  "e_form_raw_ev_per_atom": -0.64,
  "lattice": [[-0.587, 0.707, -4.063], [0.929, -8.839, -1.673], [-9.073, 1.653, 3.734]],
  "species": ["Mn", "Mn", "I", "I", "I", "I", "I", "I", "Mg"],
  "frac_coords": [[0.167, 0.334, 0.333], [0.833, 0.666, 0.667], [0.993, 0.766, 0.985], [0.007, 0.234, 0.015], [0.326, 0.436, 0.652], [0.661, 0.105, 0.321], [0.339, 0.895, 0.679], [0.674, 0.564, 0.348], [0.500, 0.000, 0.000]]
}

No. 7
{
  "formula": "K12Sn3Au5",
  "functional": "GGA-PBE",
  "state": "relaxed",
  "dos_ef_per_ev_atom": 0.559,
  "formation_energy_ev_per_atom": -0.07,
  "lattice": [[17.412, 0.000, 0.000], [-5.804, 16.416, 0.000], [-5.804, -8.208, 14.217]],
  "species": ["K", "K", "K", "K", "K", "K", "K", "K", "K", "K", "K", "K", "K", "K", "K", "K", "K", "K", "K", "K", "K", "K", "K", "K", "K", "K", "K", "K", "K", "K", "K", "K", "K", "K", "K", "K", "K", "K", "K", "K", "K", "K", "K", "K", "K", "K", "K", "K", "Sn", "Sn", "Sn", "Sn", "Sn", "Sn", "Sn", "Sn", "Sn", "Sn", "Sn", "Sn", "Au", "Au", "Au", "Au", "Au", "Au", "Au", "Au", "Au", "Au", "Au", "Au", "Au", "Au", "Au", "Au", "Au", "Au", "Au", "Au"],
  "frac_coords": [[0.632, 0.048, 0.220], [0.828, 0.916, 0.048], [0.088, 0.172, 0.220], [0.588, 0.868, 0.416], [0.672, 0.220, 0.588], [0.172, 0.084, 0.952], [0.368, 0.952, 0.780], [0.952, 0.584, 0.172], [0.548, 0.328, 0.916], [0.548, 0.220, 0.132], [0.452, 0.672, 0.084], [0.452, 0.780, 0.868], [0.280, 0.868, 0.952], [0.132, 0.412, 0.084], [0.868, 0.588, 0.916], [0.280, 0.412, 0.828], [0.328, 0.780, 0.412], [0.588, 0.720, 0.672], [0.088, 0.916, 0.368], [0.952, 0.368, 0.280], [0.720, 0.588, 0.172], [0.084, 0.172, 0.452], [0.084, 0.912, 0.132], [0.780, 0.452, 0.368], [0.632, 0.584, 0.912], [0.412, 0.280, 0.328], [0.584, 0.632, 0.412], [0.720, 0.132, 0.048], [0.584, 0.952, 0.672], [0.912, 0.828, 0.780], [0.412, 0.132, 0.584], [0.868, 0.280, 0.452], [0.780, 0.328, 0.912], [0.368, 0.416, 0.088], [0.912, 0.084, 0.632], [0.048, 0.632, 0.720], [0.328, 0.548, 0.416], [0.672, 0.452, 0.584], [0.916, 0.088, 0.868], [0.828, 0.912, 0.280], [0.220, 0.672, 0.088], [0.132, 0.720, 0.548], [0.220, 0.548, 0.632], [0.416, 0.368, 0.588], [0.916, 0.828, 0.548], [0.416, 0.048, 0.328], [0.048, 0.416, 0.828], [0.172, 0.088, 0.720], [0.125, 0.250, 0.875], [0.625, 0.250, 0.375], [0.625, 0.375, 0.750], [0.375, 0.750, 0.625], [0.250, 0.625, 0.875], [0.250, 0.125, 0.375], [0.750, 0.875, 0.625], [0.875, 0.125, 0.250], [0.875, 0.750, 0.125], [0.125, 0.875, 0.750], [0.375, 0.625, 0.250], [0.750, 0.375, 0.125], [0.750, 0.125, 0.875], [0.875, 0.250, 0.625], [0.250, 0.375, 0.625], [0.500, 0.500, 0.500], [0.750, 0.625, 0.375], [0.000, 0.500, 0.500], [0.125, 0.375, 0.250], [0.625, 0.750, 0.875], [0.375, 0.125, 0.750], [0.375, 0.250, 0.125], [0.000, 0.000, 0.000], [0.625, 0.875, 0.250], [0.500, 0.000, 0.000], [0.875, 0.625, 0.750], [0.000, 0.000, 0.500], [0.000, 0.500, 0.000], [0.250, 0.875, 0.125], [0.500, 0.500, 0.000], [0.125, 0.750, 0.375], [0.500, 0.000, 0.500]]
}

No. 8
{
  "formula": "Ni2MoCl",
  "functional": "GGA-PBE",
  "state": "relaxed",
  "dos_ef_per_ev_atom": 1.257,
  "e_form_raw_ev_per_atom": 0.31,
  "lattice": [[-5.339, 3.701, -4.857], [-7.112, 2.236, -3.196], [-6.134, 4.760, -2.348]],
  "species": ["Mo", "Cl", "Ni", "Ni"],
  "frac_coords": [[0.750, 0.750, 0.750], [0.498, 0.498, 0.498], [0.999, 0.999, 0.999], [0.253, 0.253, 0.253]]
}

Number 1: calculated total energy -29.74 eV per cell, M_tot 0.0 Bohr magnetons per cell. Number 2: calculated total energy -28.65 eV per cell, M_tot 0.0 Bohr magnetons per cell. Number 3: calculated total energy -34.68 eV per cell, M_tot 0.0 Bohr magnetons per cell. Number 4: calculated total energy -28.35 eV per cell, M_tot 0.0 Bohr magnetons per cell. Number 5: calculated total energy -49.19 eV per cell, M_tot 0.0 Bohr magnetons per cell. Number 6: calculated total energy -34.97 eV per cell, M_tot 10.0 Bohr magnetons per cell. Number 7: calculated total energy -171.52 eV per cell, M_tot 20.4 Bohr magnetons per cell. Number 8: calculated total energy -22.99 eV per cell, M_tot 0.6 Bohr magnetons per cell.